(1)
GdCd2Rh: optimized geometry, PBE.

Computed properties:
Energy of formation in meV/atom: -326
Calculated total energy in eV per cell: -24.6

abc: 4.085 4.085 5.124
angles: 90.00 90.00 90.00
Positions (direct):
Gd  0.000  0.000  0.000
Cd  0.000  0.500  0.500
Cd  0.500  0.000  0.500
Rh  0.500  0.500  0.000


(2)
NaTmC: optimized geometry, PBE.

Computed properties:
Energy of formation in meV/atom: 737
Calculated total energy in eV per cell: -25.6

abc: 8.436 8.436 8.436
angles: 157.84 151.31 36.55
Positions (direct):
Na  0.240  0.000  0.240
Na  0.760  0.000  0.760
Tm  0.315  0.815  0.500
Tm  0.685  0.185  0.500
C  0.169  0.669  0.500
C  0.831  0.331  0.500


What is the calculated total energy in the second record?
-25.6 eV per cell


What is the energy of formation in the first record?
-326 meV/atom


Repeat the first record exactly.
GdCd2Rh: optimized geometry, PBE.

Computed properties:
Energy of formation in meV/atom: -326
Calculated total energy in eV per cell: -24.6

abc: 4.085 4.085 5.124
angles: 90.00 90.00 90.00
Positions (direct):
Gd  0.000  0.000  0.000
Cd  0.000  0.500  0.500
Cd  0.500  0.000  0.500
Rh  0.500  0.500  0.000


Which value of calculated total energy does entry 1 give?
-24.6 eV per cell